A geometry-optimized K2Rb6AuS structure, computed with GGA-PBE.

```
10
Lattice="9.693 0.003 0.011 0.003 9.693 0.010 -4.844 -4.844 6.838" Properties=species:S:1:pos:R:3 pbc="T T T"
Rb 2.300 7.400 0.013
Rb 7.397 7.402 0.020
Rb 7.395 2.305 0.013
Rb 2.299 2.304 0.006
Rb 0.000 0.005 3.236
Rb 4.851 4.856 3.599
S 4.852 4.857 6.847
K 4.849 0.006 3.445
K 0.002 4.854 3.445
Au 0.004 0.009 6.831
```

Uncorrected formation energy = -0.3152 eV per atom
VASP energy = -1.86 eV per atom